[1]
A relaxed structure of Tl5Te2Au, computed with GGA-PBE.

## Properties
Its symmetry is I4/mcm. The raw formation energy is -0.18 eV per atom.

a b c (Å): 5.978 9.694 9.694
angles (deg): 84.55 72.04 72.04
Fractional positions:
Te: 0.835 0.829 0.500
Te: 0.165 0.171 0.500
Te: 0.335 0.500 0.829
Te: 0.665 0.500 0.171
Tl: 0.210 0.870 0.709
Tl: 0.750 0.500 0.500
Tl: 0.419 0.870 0.291
Tl: 0.790 0.130 0.291
Tl: 0.919 0.291 0.870
Tl: 0.290 0.291 0.130
Tl: 0.250 0.500 0.500
Tl: 0.081 0.709 0.130
Tl: 0.581 0.130 0.709
Tl: 0.710 0.709 0.870
Au: 0.250 0.000 0.000
Au: 0.750 0.000 0.000

[2]
A relaxed structure of AcIN, computed with GGA-PBE.

## Properties
Its symmetry is C2/m. The value obtained for the energy above the most stable polymorph in this dataset is 66 meV per atom. The raw formation energy is -1.18 eV per atom.

a b c (Å): 4.257 4.257 11.400
angles (deg): 91.15 91.15 71.13
Fractional positions:
N: 0.157 0.843 0.000
N: 0.843 0.157 0.000
Ac: 0.298 0.298 0.126
Ac: 0.702 0.702 0.874
I: 0.691 0.691 0.320
I: 0.309 0.309 0.680

[3]
A relaxed structure of Pr8Ga3NiCl4, computed with GGA-PBE.

## Properties
Its symmetry is C2/m. The raw formation energy is -0.97 eV per atom.

a b c (Å): 8.455 8.606 8.476
angles (deg): 119.62 119.92 90.00
Fractional positions:
Pr: 0.237 0.733 0.475
Pr: 0.758 0.732 0.995
Pr: 0.242 0.268 0.005
Pr: 0.250 0.249 0.499
Pr: 0.750 0.751 0.501
Pr: 0.763 0.268 0.005
Pr: 0.237 0.732 0.995
Pr: 0.763 0.267 0.525
Ga: 0.500 0.500 0.500
Ga: 0.000 0.500 0.500
Ga: 0.500 0.500 0.000
Cl: 0.000 0.000 0.000
Cl: 0.500 0.000 0.000
Cl: 0.000 0.000 0.500
Cl: 0.500 0.000 0.500
Ni: 0.000 0.500 0.000

[4]
A relaxed structure of YGa2Ru2, computed with GGA-PBE.

## Properties
The value obtained for the energy relative to the elements is -0.39 eV/atom. Its symmetry is I4/mmm.

a b c (Å): 4.174 4.174 5.959
angles (deg): 69.50 69.50 90.00
Fractional positions:
Y: 0.000 0.000 0.000
Ga: 0.621 0.621 0.759
Ga: 0.379 0.379 0.241
Ru: 0.750 0.250 0.500
Ru: 0.250 0.750 0.500

[5]
A relaxed structure of NdDy2Zn2, computed with GGA-PBE.

## Properties
The value obtained for the energy relative to the elements is -0.25 eV/atom. Its symmetry is P2_1/m. The value obtained for the energy above the most stable polymorph in this dataset is 0 meV per atom.

a b c (Å): 3.637 5.241 13.435
angles (deg): 90.00 97.79 90.00
Fractional positions:
Nd: 0.856 0.750 0.714
Nd: 0.144 0.250 0.286
Zn: 0.454 0.750 0.908
Zn: 0.640 0.750 0.281
Zn: 0.360 0.250 0.719
Zn: 0.546 0.250 0.092
Dy: 0.954 0.250 0.907
Dy: 0.768 0.250 0.535
Dy: 0.046 0.750 0.093
Dy: 0.232 0.750 0.465

[6]
A relaxed structure of PaPBrO6, computed with GGA-PBE.

## Properties
Its symmetry is P1. The raw formation energy is -1.91 eV per atom.

a b c (Å): 5.489 5.686 8.285
angles (deg): 75.21 56.96 57.90
Fractional positions:
O: 0.176 0.472 0.309
O: 0.538 0.344 0.585
O: 0.998 0.510 0.634
O: 0.594 0.089 0.370
O: 0.233 0.887 0.779
O: 0.477 0.635 0.337
P: 0.359 0.410 0.447
Br: 0.958 0.990 0.030
Pa: 0.667 0.663 0.509